10
Lattice="-2.2085 -5.9397 -0.0483 4.9935 -1.8845 3.4168 -1.3716 0.4915 2.2757" Properties=species:S:1:pos:R:3 comment="Be2HgH2, optimized geometry, DFT PBE-GGA" total_magnetization_mub_per_atom=0.000 polymorph_energy_mev_per_atom=358 spacegroup="P4/mbm, No. 127" pbc="T T T"
Be 3.5745 -3.9701 3.0120
Be 1.1021 -6.4236 2.0517
Be -0.7896 -3.8541 0.3565
Be 1.6828 -1.4005 1.3168
Hg 0.0000 0.0000 0.0000
Hg 1.3925 -3.9121 1.6842
H 2.0866 -1.4710 3.1797
H 2.4904 -5.0100 4.1874
H -0.6733 -5.8616 2.4645
H -1.0771 -2.3226 1.4567